No. 1
AgHgPd5 | PBE | optimized geometry

Cell and atoms, written as POSCAR:
```
AgHgPd5
1.0
-1.569 1.765 7.174
4.644 -1.355 1.349
-0.129 3.919 -4.968
Hg Pd Ag
1 5 1
Cartesian
-1.057 1.189 4.833 Hg
1.014 0.794 6.655 Pd
0.948 -0.108 1.262 Pd
3.290 -0.791 1.943 Pd
1.979 2.509 5.058 Pd
0.468 2.382 0.783 Pd
1.623 0.109 3.873 Ag
```

Summary:
The crystal system is orthorhombic. As for the energy of formation: 634 meV per atom. For the calculated volume, the calculation gives 167.5 Å³ per cell. The symmetry is Imm2, No. 44. The energy relative to the lowest polymorph listed for this composition comes out at 395 kJ/mol of formula units.



No. 2
Mg8In2Sn | PBE | optimized geometry

Cell and atoms, written as POSCAR:
```
Mg8In2Sn
1.0
4.472 0.000 0.000
0.000 7.217 0.408
-2.236 -2.704 7.702
Sn In Mg
1 2 8
Cartesian
2.236 0.000 0.000 Sn
0.000 3.468 3.693 In
2.236 1.045 4.417 In
0.000 -1.100 4.954 Mg
2.236 3.909 5.888 Mg
2.236 -0.502 7.134 Mg
0.000 0.604 2.222 Mg
0.000 5.015 0.976 Mg
0.000 1.714 6.504 Mg
2.236 2.799 1.606 Mg
2.236 5.612 3.156 Mg
```

Summary:
The crystal system is monoclinic. As for the energy of formation: -81 meV per atom. For the calculated volume, the calculation gives 253.5 Å³ per cell. The symmetry is C2/m, No. 12.



No. 3
Ce2NdOs | PBE | optimized geometry

Cell and atoms, written as POSCAR:
```
Ce2NdOs
1.0
-2.496 2.990 -0.853
-3.481 0.300 1.920
1.818 6.028 6.494
Nd Ce Os
1 2 1
Cartesian
-2.093 4.642 3.759 Nd
1.152 5.167 5.422 Ce
-1.325 1.960 1.430 Ce
-3.973 2.208 0.730 Os
```

Summary:
The crystal system is trigonal. As for the energy of formation: 8 meV per atom. For the calculated volume, the calculation gives 120.4 Å³ per cell. The symmetry is R3m, No. 160. The energy relative to the lowest polymorph listed for this composition comes out at 51 kJ/mol of formula units.



No. 4
LaZrAs2 | PBE | optimized geometry

Cell and atoms, written as POSCAR:
```
LaZrAs2
1.0
1.776 -2.169 4.176
0.124 2.580 4.316
-3.141 -1.203 3.740
Zr As La
1 2 1
Cartesian
0.000 0.000 0.000 Zr
-0.930 -0.594 9.175 As
-0.310 -0.198 3.058 As
-0.620 -0.396 6.116 La
```

Summary:
The crystal system is cubic. As for the energy of formation: -889 meV per atom. For the calculated volume, the calculation gives 90.0 Å³ per cell. The symmetry is Fm-3m, No. 225. The energy relative to the lowest polymorph listed for this composition comes out at 174 kJ/mol of formula units.



No. 5
RbInSnPb | PBE | optimized geometry

Cell and atoms, written as POSCAR:
```
RbInSnPb
1.0
-1.316 -3.735 -4.111
3.110 -0.194 -4.782
3.416 -4.461 -1.004
In Sn Pb Rb
1 1 1 1
Cartesian
2.605 -4.195 -4.949 In
1.303 -2.097 -2.474 Sn
0.000 0.000 0.000 Pb
3.908 -6.292 -7.423 Rb
```

Summary:
The crystal system is cubic. As for the energy of formation: 17 meV per atom. For the calculated volume, the calculation gives 131.5 Å³ per cell. The symmetry is F-43m, No. 216.



No. 6
YZr2Br | PBE | optimized geometry

Cell and atoms, written as POSCAR:
```
YZr2Br
1.0
3.366 0.000 0.000
0.000 3.396 0.016
0.000 1.655 8.939
Zr Y Br
2 1 1
Cartesian
1.683 1.900 2.100 Zr
0.000 0.212 0.072 Zr
1.683 3.576 6.673 Y
0.000 1.889 4.588 Br
```

Summary:
The crystal system is orthorhombic. Its formation energy (no corrections) is -0.319 eV/atom. For the calculated volume, the calculation gives 102.1 Å³ per cell. The symmetry is Amm2, No. 38. The energy relative to the lowest polymorph listed for this composition comes out at 0 kJ/mol of formula units.



No. 7
Sb2RhCS | PBE | optimized geometry

Cell and atoms, written as POSCAR:
```
Sb2RhCS
1.0
-2.048 -1.974 4.500
-2.066 -2.391 -1.989
3.933 -3.581 0.219
Sb S Rh C
2 1 1 1
Cartesian
1.967 -1.790 0.110 Sb
-1.024 -0.987 2.250 Sb
-0.090 -3.973 1.365 S
0.000 0.000 0.000 Rh
-1.033 -1.195 -0.995 C
```

Summary:
The crystal system is tetragonal. Its formation energy (no corrections) is 0.647 eV/atom. For the calculated volume, the calculation gives 105.8 Å³ per cell. The symmetry is P4/mmm, No. 123.



Question: Which of these has the lowest calculated volume?
Answer: LaZrAs2